(1)
An optimized crystal structure of Y2HfAl3Cu2Ni. Source: the Open Quantum Materials Database, functional PBE-GGA.

## Properties
Its calculated total energy is -51.45 eV/f.u. Its space group is No. 38.

Structure (CIF):
```
data_Y2HfAl3Cu2Ni
_space_group_name_H-M_alt 'P 1'
_space_group_IT_number 1
_cell_length_a 3.8999
_cell_length_b 6.9154
_cell_length_c 6.9154
_cell_angle_alpha 120.49
_cell_angle_beta 90.00
_cell_angle_gamma 90.00
loop_
_space_group_symop_operation_xyz
'x,y,z'
loop_
_atom_site_label
_atom_site_type_symbol
_atom_site_fract_x
_atom_site_fract_y
_atom_site_fract_z
Al1 Al 0.5000 0.2369 0.0081
Al2 Al 0.5000 0.0081 0.2369
Al3 Al 0.5000 0.7589 0.7589
Cu1 Cu 0.5000 0.6526 0.3380
Cu2 Cu 0.5000 0.3380 0.6526
Hf1 Hf 0.0000 0.4044 0.4044
Ni1 Ni 0.0000 0.0133 0.0133
Y1 Y 0.0000 0.9993 0.5884
Y2 Y 0.0000 0.5884 0.9993
```

---

(2)
An optimized crystal structure of YHf2Al3Cu2Ni. Source: the Open Quantum Materials Database, functional PBE-GGA.

## Properties
Its calculated total energy is -54.86 eV/f.u. Its space group is No. 38.

Structure (CIF):
```
data_YHf2Al3Cu2Ni
_space_group_name_H-M_alt 'P 1'
_space_group_IT_number 1
_cell_length_a 3.8835
_cell_length_b 6.7545
_cell_length_c 6.7545
_cell_angle_alpha 120.28
_cell_angle_beta 90.00
_cell_angle_gamma 90.00
loop_
_space_group_symop_operation_xyz
'x,y,z'
loop_
_atom_site_label
_atom_site_type_symbol
_atom_site_fract_x
_atom_site_fract_y
_atom_site_fract_z
Al1 Al 0.5000 0.7606 0.0070
Al2 Al 0.5000 0.2355 0.2355
Al3 Al 0.5000 0.0070 0.7606
Cu1 Cu 0.5000 0.6706 0.3253
Cu2 Cu 0.5000 0.3253 0.6706
Hf1 Hf 0.0000 0.9971 0.4053
Hf2 Hf 0.0000 0.4053 0.9971
Ni1 Ni 0.0000 0.0117 0.0117
Y1 Y 0.0000 0.5870 0.5870
```

---

(3)
An optimized crystal structure of HfAlCuOs. Source: the Open Quantum Materials Database, functional PBE-GGA.

## Properties
Its calculated total energy is -28.76 eV/f.u. The value obtained for the distance to the lowest polymorph of the same formula is 1.47 eV/f.u. Its space group is No. 216.

Structure (CIF):
```
data_HfAlCuOs
_space_group_name_H-M_alt 'P 1'
_space_group_IT_number 1
_cell_length_a 4.4638
_cell_length_b 4.4638
_cell_length_c 4.4638
_cell_angle_alpha 60.00
_cell_angle_beta 60.00
_cell_angle_gamma 60.00
loop_
_space_group_symop_operation_xyz
'x,y,z'
loop_
_atom_site_label
_atom_site_type_symbol
_atom_site_fract_x
_atom_site_fract_y
_atom_site_fract_z
Al1 Al 0.0000 0.0000 0.0000
Cu1 Cu 0.7500 0.7500 0.7500
Hf1 Hf 0.2500 0.2500 0.2500
Os1 Os 0.5000 0.5000 0.5000
```